Record 1
DFT (PBE) results for a geometry-optimized LaGdMnAl structure. Values from VASP.

Quantum ESPRESSO input file:
```
&SYSTEM
  ibrav = 0, nat = 4, ntyp = 4
/
ATOMIC_SPECIES
La 138.91 La.upf
Gd 157.25 Gd.upf
Mn 54.94 Mn.upf
Al 26.98 Al.upf
ATOMIC_POSITIONS angstrom
La 0.000 0.000 0.000
Gd 3.696 3.696 3.696
Mn 5.544 5.544 5.544
Al 1.848 1.848 1.848
CELL_PARAMETERS angstrom
0.000 3.696 3.696
3.696 0.000 3.696
3.696 3.696 0.000
```

Results
ΔE_f = -41 meV per atom
space group = No. 216

Record 2
DFT (PBE) results for a geometry-optimized LiPr2Sb4Ir3 structure. Values from VASP.

Quantum ESPRESSO input file:
```
&SYSTEM
  ibrav = 0, nat = 10, ntyp = 4
/
ATOMIC_SPECIES
Li 6.94 Li.upf
Pr 140.91 Pr.upf
Sb 121.76 Sb.upf
Ir 192.22 Ir.upf
ATOMIC_POSITIONS angstrom
Li 0.000 0.000 0.000
Pr 0.000 2.293 7.988
Pr 2.293 0.000 2.611
Sb 0.000 0.000 5.299
Sb 0.000 2.293 1.396
Sb 2.293 0.000 9.203
Sb 2.293 2.293 5.299
Ir 0.000 2.293 4.014
Ir 2.293 0.000 6.585
Ir 2.293 2.293 0.000
CELL_PARAMETERS angstrom
4.586 0.000 0.000
0.000 4.586 0.000
0.000 0.000 10.599
```

Results
formation energy without anion corrections = -0.6593 eV per atom
space group = No. 115

Record 3
DFT (PBE) results for a geometry-optimized Pb3IBr structure. Values from VASP.

Quantum ESPRESSO input file:
```
&SYSTEM
  ibrav = 0, nat = 5, ntyp = 3
/
ATOMIC_SPECIES
Pb 207.20 Pb.upf
I 126.90 I.upf
Br 79.90 Br.upf
ATOMIC_POSITIONS angstrom
Pb 0.000 0.000 2.964
Pb 0.000 2.964 0.000
Pb 2.964 0.000 0.000
I 2.964 2.964 2.964
Br 0.000 0.000 0.000
CELL_PARAMETERS angstrom
5.928 0.000 0.000
0.000 5.928 0.000
0.000 0.000 5.928
```

Results
E above lowest polymorph = 0.000 eV/atom
formation energy without anion corrections = 0.3674 eV per atom
space group = No. 221

Record 4
DFT (PBE) results for a geometry-optimized Ca3TmTh2Bi6 structure. Values from VASP.

Quantum ESPRESSO input file:
```
&SYSTEM
  ibrav = 0, nat = 12, ntyp = 4
/
ATOMIC_SPECIES
Ca 40.08 Ca.upf
Tm 168.93 Tm.upf
Th 232.04 Th.upf
Bi 208.98 Bi.upf
ATOMIC_POSITIONS angstrom
Ca 0.000 0.000 0.000
Ca 3.974 2.339 0.000
Ca 3.974 -2.339 0.000
Tm 2.647 0.000 3.760
Th 2.647 4.600 3.760
Th 2.647 -4.600 3.760
Bi 1.350 2.254 1.935
Bi 0.048 0.000 5.609
Bi 1.350 -2.254 1.935
Bi 3.943 2.254 5.585
Bi 5.246 0.000 1.911
Bi 3.943 -2.254 5.585
CELL_PARAMETERS angstrom
3.974 -6.886 0.000
3.974 6.886 0.000
-2.655 0.000 7.520
```

Results
ΔE_f = -731 meV per atom
space group = No. 12

Record 5
DFT (PBE) results for a geometry-optimized IrPdRh2 structure. Values from VASP.

Quantum ESPRESSO input file:
```
&SYSTEM
  ibrav = 0, nat = 8, ntyp = 3
/
ATOMIC_SPECIES
Ir 192.22 Ir.upf
Pd 106.42 Pd.upf
Rh 102.91 Rh.upf
ATOMIC_POSITIONS angstrom
Ir 0.000 0.000 0.000
Ir 0.000 3.471 1.350
Pd 3.471 0.000 1.350
Pd 0.000 0.000 2.700
Rh 1.736 1.592 -0.675
Rh 1.879 -1.736 3.375
Rh 1.736 1.879 2.025
Rh 1.592 5.207 0.675
CELL_PARAMETERS angstrom
-3.471 3.471 2.700
3.471 -3.471 2.700
3.471 3.471 -2.700
```

Results
E above lowest polymorph = 0.525 eV/atom
ΔE_f = 540 meV per atom
space group = No. 122

Record 6
DFT (PBE) results for a geometry-optimized RbGaSn structure. Values from VASP.

Quantum ESPRESSO input file:
```
&SYSTEM
  ibrav = 0, nat = 6, ntyp = 3
/
ATOMIC_SPECIES
Rb 85.47 Rb.upf
Ga 69.72 Ga.upf
Sn 118.71 Sn.upf
ATOMIC_POSITIONS angstrom
Rb 0.000 0.000 0.000
Rb 2.320 3.011 2.178
Ga 4.647 5.543 3.410
Ga 4.654 3.409 4.905
Sn 4.649 0.746 4.062
Sn 6.984 4.627 5.941
CELL_PARAMETERS angstrom
4.662 0.000 0.000
2.329 6.207 0.000
2.324 1.165 7.064
```

Results
ΔE_f = -176 meV per atom
space group = No. 1